# Ba2As4Pd3

Ba2As4Pd3 after structural relaxation (GGA-PBE, Alexandria).

Geometry as POSCAR:
```
Ba2As4Pd3
1.0
0.000 5.194 7.161
3.055 0.000 7.161
3.055 5.194 0.000
Ba As Pd
2 4 3
direct
0.150 0.150 0.850
0.850 0.850 0.150
0.208 0.537 0.463
0.463 0.792 0.208
0.537 0.208 0.792
0.792 0.463 0.537
0.000 0.000 0.500
0.500 0.500 0.000
0.500 0.500 0.500
```

Space-group type ... Fmmm, No. 69
N(E_F) ... 0.581 states/eV per atom
Energy ... -4.92 eV per atom